PBE CaCeTe2, relaxed; spin magnetization = 1.7 μB/f.u.; E_form (uncorrected) = -5.2 eV/f.u.
1.0
3.8962 0.0000 0.0000
0.0000 3.8962 0.0000
0.0000 0.0000 7.7934
Ca Ce Te
1 1 2
Direct
0.0000 0.0000 0.0000
0.0000 0.0000 0.5000
0.5000 0.5000 0.2542
0.5000 0.5000 0.7458

PBE LaSc2Cr, relaxed; calculated total energy = -6.283 eV per atom; spin magnetization = 0.0 μB/f.u.
1.0
0.0000 3.5326 3.5326
3.5326 0.0000 3.5326
3.5326 3.5326 0.0000
La Sc Cr
1 2 1
Direct
0.0000 0.0000 0.0000
0.2500 0.2500 0.2500
0.7500 0.7500 0.7500
0.5000 0.5000 0.5000

PBE Tb2HoPaRu2, relaxed; calculated total energy = -7.280 eV per atom; spin magnetization = 0.0 μB/f.u.
1.0
-3.4043 6.8086 3.3589
3.4043 -6.8086 3.3589
3.4043 6.8086 -3.3589
Tb Ho Pa Ru
4 2 2 4
Direct
0.1942 0.2079 0.4021
0.3058 0.7079 0.0137
0.6942 0.2921 0.9863
0.8058 0.7921 0.5979
0.2500 0.7500 0.5000
0.7500 0.2500 0.5000
0.2500 0.2500 0.0000
0.7500 0.7500 0.0000
0.1027 0.7923 0.8950
0.3973 0.2923 0.6896
0.6027 0.7077 0.3104
0.8973 0.2077 0.1050

PBE Ce3NdY2N6, relaxed; spin magnetization = 0.5 μB/f.u.; E_form (uncorrected) = -18.5 eV/f.u.
1.0
3.0787 -5.3312 0.0000
3.0787 5.3312 0.0000
-2.0521 0.0000 5.7888
Ce Nd Y N
3 1 2 6
Direct
0.0000 0.0000 0.0000
0.3332 0.6668 0.0000
0.6668 0.3332 0.0000
0.5000 0.5000 0.5000
0.1667 0.8333 0.5000
0.8333 0.1667 0.5000
0.0719 0.4148 0.2447
0.2415 0.2415 0.7539
0.4148 0.0719 0.2447
0.5852 0.9281 0.7553
0.7585 0.7585 0.2461
0.9281 0.5852 0.7553